1.
First-principles (PBE) data for crystalline LiScSn at its relaxed geometry, as listed in the Alexandria database.

Lattice parameters (Å, degrees): 10.295 4.517 6.379 90.00 123.20 90.00
Space group C2/m (No. 12)
Symmetry-distinct sites (fractional):
Li (0.142, 0.000, 0.050) x4
Sc (0.174, 0.000, 0.606) x4
Sn (0.014, 0.500, 0.756) x4

formation enthalpy at 0 K	-9.17	kcal/mol of atoms
crystal system	monoclinic

=====

2.
First-principles (PBE) data for crystalline Li2ScSn4 at its relaxed geometry, as listed in the Alexandria database.

Lattice parameters (Å, degrees): 6.814 6.814 6.991 90.00 90.00 90.00
Space group I4/mmm (No. 139)
Symmetry-distinct sites (fractional):
Li (0.000, 0.500, 0.000) x4
Sc (0.000, 0.000, 0.000) x2
Sn (0.250, 0.250, 0.250) x8

formation enthalpy at 0 K	-7.74	kcal/mol of atoms
crystal system	tetragonal

=====

3.
First-principles (PBE) data for crystalline LiSc3Sn at its relaxed geometry, as listed in the Alexandria database.

Lattice parameters (Å, degrees): 4.872 4.872 4.872 90.00 90.00 90.00
Space group Pm-3m (No. 221)
Symmetry-distinct sites (fractional):
Li (0.000, 0.000, 0.000) x1
Sc (0.000, 0.000, 0.500) x3
Sn (0.500, 0.500, 0.500) x1

formation enthalpy at 0 K	4.99	kcal/mol of atoms
excess energy over the best structure of this formula in the dataset	0	meV/atom
crystal system	cubic